This record from Alexandria describes an optimized crystal structure of CrCu2OsO8. The functional is GGA+U.

```
CrCu2OsO8
1.0
-3.0347 3.0347 4.1822
3.0347 -3.0347 4.1822
3.0347 3.0347 -4.1822
Cr Cu Os O
1 2 1 8
Cartesian
0.0000 0.0000 0.0000 Cr
3.0347 0.0000 2.0911 Cu
0.0000 0.0000 4.1822 Cu
0.0000 3.0347 2.0911 Os
3.0347 1.4280 -1.0838 O
3.0347 -1.6565 3.2096 O
1.3782 0.0000 0.9726 O
4.6912 0.0000 0.9726 O
1.4280 3.0347 1.0838 O
1.6067 0.0000 5.2660 O
0.0000 1.6067 3.0985 O
3.0347 1.6565 3.2096 O
```

symmetry: I-4m2 (119)
calculated volume: 12.84 Å³/atom
calculated total energy: -76.087 eV per cell